# RbMgBe2Br8 (PBE, relaxed)
data_RbMgBe2Br8
_chemical_formula_sum 'Rb3 Mg3 Be6 Br24'
_cell_length_a 6.5447
_cell_length_b 6.5447
_cell_length_c 28.7779
_cell_angle_alpha 90.00
_cell_angle_beta 90.00
_cell_angle_gamma 120.00
_space_group_name_H-M_alt 'R -3'
_space_group_IT_number 148
_space_group_name_Hall '-R 3'
loop_
_atom_site_label
_atom_site_fract_x
_atom_site_fract_y
_atom_site_fract_z
_atom_site_occupancy
Rb1 0.0000 0.0000 0.0000 1
Mg1 0.0000 0.0000 0.5000 1
Be1 0.0000 0.0000 0.2437 1
Br1 0.0000 0.0000 0.3195 1
Br2 0.0033 0.3233 0.2214 1
# * total DFT energy (no corrections): -109.16 eV for the cell shown
# * V: 1068 Å³/cell
# * magnetization: 2.98 μB/cell